Computed, not measured: a relaxed NaTlSiBiTeCl crystal at the PBE level of DFT.

Computed properties:
The polymorph energy (0 for the lowest one) is 5 meV/atom. The calculation puts the calculated volume at 31.23 A^3/atom. The space-group type is No. 8. The density of states at the Fermi level is 0.19 states/eV per atom. As for the uncorrected formation energy: -44.37 kJ per mole of atoms. Its total DFT energy (no corrections) is -3.46 eV per atom.

Cell lengths 12.042, 12.042, 4.189 Å; angles 99.97, 99.97, 18.26 degrees
Sites, in units of the cell vectors:
1 Na 0.000 0.000 0.000
2 Tl 0.646 0.646 0.143
3 Si 0.310 0.310 0.306
4 Bi 0.234 0.234 0.731
5 Te 0.882 0.882 0.380
6 Cl 0.528 0.528 0.528